The following is a DFT calculation (PBE) of BaAcZnPd after structural relaxation.

POSCAR file:
```
BaAcZnPd
1.0
5.535 0.000 0.000
2.768 4.794 0.000
2.768 1.598 4.520
Ba Ac Pd Zn
1 1 1 1
Direct
0.000 0.000 0.000
0.500 0.500 0.500
0.750 0.750 0.750
0.250 0.250 0.250
```

Computed properties:
**Excess energy over the best structure of this formula in the dataset**: 0.113 eV per atom
**Formation enthalpy at 0 K**: -0.331 eV per atom
**ρ**: 7.423 g cm⁻³

=====

The following is a DFT calculation (PBE) of NiAg3Te after structural relaxation.

POSCAR file:
```
NiAg3Te
1.0
-2.041 -4.824 -0.674
1.378 -1.273 4.937
-4.672 1.732 1.751
Ag Ni Te
3 1 1
Direct
0.000 0.000 0.500
0.500 0.000 0.000
0.000 0.500 0.000
0.500 0.500 0.500
0.000 0.000 0.000
```

Computed properties:
**Excess energy over the best structure of this formula in the dataset**: 0.415 eV per atom
**Formation energy without anion corrections**: 1034 meV per atom
**ρ**: 5.749 g cm⁻³